Below is crystalline RbLi2MnF8 at its relaxed geometry, with properties calculated at the PBE+U level.

```
data_RbLi2MnF8
_cell_length_a 5.5151
_cell_length_b 5.5151
_cell_length_c 20.4423
_cell_angle_alpha 90.00
_cell_angle_beta 90.00
_cell_angle_gamma 120.00
_space_group_name_H-M_alt 'R -3 m'
_space_group_IT_number 166
_space_group_name_Hall '-R 3 2"'
loop_
_atom_site_label
_atom_site_fract_x
_atom_site_fract_y
_atom_site_fract_z
Rb1 0.0000 0.0000 0.0000
Li1 0.0000 0.0000 0.1754
Mn1 0.0000 0.0000 0.5000
F1 0.0000 0.0000 0.2672
F2 0.0087 0.5044 0.2154
```

VASP energy in eV per formula unit: -54.85